Density functional theory data (PBE with a Hubbard U) for a geometry-optimized MgMnF2 structure.

```
MgMnF2
1.0
-2.319 -2.122 5.780
1.091 -2.825 5.841
-0.038 0.388 6.568
Mg Mn F
1 1 2
direct
0.000 0.000 0.000 Mg
0.500 0.500 0.500 Mn
0.882 0.882 0.882 F
0.118 0.118 0.118 F
```

Output
Energy above the most stable polymorph in this dataset = 0.337 eV/atom
E_tot = -5.0462 eV per atom